(1)
# KZr2Cu

A crystal of KZr2Cu relaxed with PBEsol (meta-GGA SCAN, Alexandria).

Structure (POSCAR):
```
KZr2Cu
1.0
3.2522 0.0000 0.0000
0.0000 3.2522 0.0000
0.0000 0.0000 9.4199
K Zr Cu
1 2 1
Direct
0.0000 0.0000 0.0000 K
0.0000 0.0000 0.5802 Zr
0.5000 0.5000 0.3667 Zr
0.5000 0.5000 0.7318 Cu
```

Summary:
The calculation puts the formation energy at 234 meV/atom. As for the space group: P4mm, No. 99.

***

(2)
# SrSCl2O

A crystal of SrSCl2O relaxed with PBEsol (meta-GGA SCAN, Alexandria).

Structure (POSCAR):
```
SrSCl2O
1.0
5.5395 0.0000 0.0000
0.0000 5.5395 0.0000
0.0000 0.0000 6.0585
Sr S Cl O
1 1 2 1
Direct
0.0000 0.0000 0.0000 Sr
0.0000 0.0000 0.5000 S
0.0000 0.5000 0.0000 Cl
0.5000 0.0000 0.0000 Cl
0.5000 0.5000 0.5000 O
```

Summary:
The value obtained for the uncorrected formation energy is -0.334 eV/atom. The calculation puts the relative energy among the computed polymorphs at 465 meV per atom. As for the space group: P4/mmm, No. 123.

***

(3)
# BeCdNi3

A crystal of BeCdNi3 relaxed with PBEsol (meta-GGA SCAN, Alexandria).

Structure (POSCAR):
```
BeCdNi3
1.0
4.5368 0.0000 0.0000
0.0000 4.5368 0.0000
0.0000 0.0000 4.5368
Be Cd Ni
1 1 3
Direct
0.0000 0.0000 0.0000 Be
0.5000 0.5000 0.5000 Cd
0.0000 0.5000 0.5000 Ni
0.5000 0.0000 0.5000 Ni
0.5000 0.5000 0.0000 Ni
```

Summary:
The calculation puts the formation energy at 1776 meV/atom. As for the space group: Pm-3m, No. 221.

***

(4)
# CePd5

A crystal of CePd5 relaxed with PBEsol (meta-GGA SCAN, Alexandria).

Structure (POSCAR):
```
CePd5
1.0
5.2184 0.0000 0.0000
-2.6092 4.5193 0.0000
0.0000 0.0000 4.4302
Ce Pd
1 5
Direct
0.0000 0.0000 0.0000 Ce
0.0000 0.5000 0.5000 Pd
0.3333 0.6667 0.0000 Pd
0.5000 0.0000 0.5000 Pd
0.5000 0.5000 0.5000 Pd
0.6667 0.3333 0.0000 Pd
```

Summary:
The calculation puts the formation energy at -540 meV/atom. As for the space group: P6/mmm, No. 191.

***

(5)
# Tm3Cu4Sn4

A crystal of Tm3Cu4Sn4 relaxed with PBEsol (meta-GGA SCAN, Alexandria).

Structure (POSCAR):
```
Tm3Cu4Sn4
1.0
7.8848 -2.1767 0.0000
7.8848 2.1767 0.0000
-2.8152 0.0000 6.2160
Tm Cu Sn
3 4 4
Direct
0.0000 0.0000 0.0000 Tm
0.1294 0.1294 0.6487 Tm
0.8706 0.8706 0.3513 Tm
0.3109 0.3109 0.6146 Cu
0.3463 0.3463 0.0221 Cu
0.6537 0.6537 0.9779 Cu
0.6891 0.6891 0.3854 Cu
0.2179 0.2179 0.1934 Sn
0.4859 0.4859 0.6901 Sn
0.5141 0.5141 0.3099 Sn
0.7821 0.7821 0.8066 Sn
```

Summary:
The calculation puts the formation energy at -560 meV/atom. As for the space group: C2/m, No. 12.

***

(6)
# MgCoSi2O6

A crystal of MgCoSi2O6 relaxed with PBEsol (meta-GGA SCAN, Alexandria).

Structure (POSCAR):
```
MgCoSi2O6
1.0
4.7342 -4.3901 0.0000
4.7342 4.3901 0.0000
-0.9789 0.0000 4.8234
Mg Co Si O
2 2 4 12
Direct
0.2273 0.7727 0.7500 Mg
0.7727 0.2273 0.2500 Mg
0.4169 0.5831 0.2500 Co
0.5831 0.4169 0.7500 Co
0.1055 0.2922 0.7917 Si
0.2922 0.1055 0.2917 Si
0.7078 0.8945 0.7083 Si
0.8945 0.7078 0.2083 Si
0.0849 0.2039 0.0906 O
0.1186 0.6424 0.3662 O
0.2039 0.0849 0.5906 O
0.2787 0.4715 0.8594 O
0.3576 0.8814 0.1338 O
0.4715 0.2787 0.3594 O
0.5285 0.7213 0.6406 O
0.6424 0.1186 0.8662 O
0.7213 0.5285 0.1406 O
0.7961 0.9151 0.4094 O
0.8814 0.3576 0.6338 O
0.9151 0.7961 0.9094 O
```

Summary:
The value obtained for the uncorrected formation energy is -2.672 eV/atom. The calculation puts the relative energy among the computed polymorphs at 27 meV per atom. As for the space group: C2/c, No. 15.

***

(7)
# KPt

A crystal of KPt relaxed with PBEsol (meta-GGA SCAN, Alexandria).

Structure (POSCAR):
```
KPt
1.0
4.3843 0.0000 0.0000
-2.1922 3.7970 0.0000
0.0000 0.0000 24.5116
K Pt
6 6
Direct
0.0000 0.0000 0.0832 K
0.0000 0.0000 0.9168 K
0.3333 0.6667 0.5835 K
0.3333 0.6667 0.7499 K
0.6667 0.3333 0.2501 K
0.6667 0.3333 0.4165 K
0.0000 0.0000 0.3333 Pt
0.0000 0.0000 0.6667 Pt
0.3333 0.6667 0.0000 Pt
0.3333 0.6667 0.3334 Pt
0.6667 0.3333 0.0000 Pt
0.6667 0.3333 0.6666 Pt
```

Summary:
The calculation puts the formation energy at -184 meV/atom. As for the space group: R-3m, No. 166.

***

(8)
# SrMgSc2Bi

A crystal of SrMgSc2Bi relaxed with PBEsol (meta-GGA SCAN, Alexandria).

Structure (POSCAR):
```
SrMgSc2Bi
1.0
5.2869 0.0000 0.0000
0.0000 5.2869 0.0000
0.0000 0.0000 5.4586
Sr Mg Sc Bi
1 1 2 1
Direct
0.0000 0.0000 0.0000 Sr
0.0000 0.0000 0.5000 Mg
0.0000 0.5000 0.0000 Sc
0.5000 0.0000 0.0000 Sc
0.5000 0.5000 0.5000 Bi
```

Summary:
The calculation puts the formation energy at 1267 meV/atom. As for the space group: P4/mmm, No. 123.

***

(9)
# ZrTi2O

A crystal of ZrTi2O relaxed with PBEsol (meta-GGA SCAN, Alexandria).

Structure (POSCAR):
```
ZrTi2O
1.0
4.6015 0.0000 0.0000
0.0000 8.3432 0.0000
0.0000 0.0000 3.0049
Zr Ti O
2 4 2
Direct
0.0000 0.0000 0.0000 Zr
0.5000 0.5000 0.0000 Zr
0.0000 0.3290 0.5000 Ti
0.0000 0.6710 0.5000 Ti
0.5000 0.1710 0.5000 Ti
0.5000 0.8290 0.5000 Ti
0.0000 0.5000 0.0000 O
0.5000 0.0000 0.0000 O
```

Summary:
The value obtained for the uncorrected formation energy is -1.568 eV/atom. As for the space group: Cmmm, No. 65.

***

(10)
# TaSbW2

A crystal of TaSbW2 relaxed with PBEsol (meta-GGA SCAN, Alexandria).

Structure (POSCAR):
```
TaSbW2
1.0
2.8817 0.0000 0.0000
0.0000 4.5907 0.0000
-1.3729 0.0000 5.2417
Ta Sb W
1 1 2
Direct
0.0000 0.0000 0.0000 Ta
0.5000 0.0000 0.5000 Sb
0.2312 0.5000 0.7555 W
0.7688 0.5000 0.2445 W
```

Summary:
The value obtained for the uncorrected formation energy is 0.459 eV/atom. As for the space group: P2/m, No. 10.

***

(11)
# Tl2TcRu

A crystal of Tl2TcRu relaxed with PBEsol (meta-GGA SCAN, Alexandria).

Structure (POSCAR):
```
Tl2TcRu
1.0
2.9622 0.0000 0.0000
0.0000 2.9622 0.0000
0.0000 0.0000 8.6841
Tl Tc Ru
2 1 1
Direct
0.0000 0.0000 0.0000 Tl
0.5000 0.5000 0.3343 Tl
0.5000 0.5000 0.7485 Tc
0.0000 0.0000 0.5834 Ru
```

Summary:
The calculation puts the formation energy at 403 meV/atom. The calculation puts the relative energy among the computed polymorphs at 0 meV per atom. As for the space group: P4mm, No. 99.

***

(12)
# H3SeCl

A crystal of H3SeCl relaxed with PBEsol (meta-GGA SCAN, Alexandria).

Structure (POSCAR):
```
H3SeCl
1.0
3.6537 0.0000 0.0000
0.0000 3.6537 0.0000
0.0000 0.0000 3.6537
H Se Cl
3 1 1
Direct
0.0000 0.0000 0.5000 H
0.0000 0.5000 0.0000 H
0.5000 0.0000 0.0000 H
0.0000 0.0000 0.0000 Se
0.5000 0.5000 0.5000 Cl
```

Summary:
As for the space group: Pm-3m, No. 221.

***

no.,magnetization (Bohr magnetons per cell),uncorrected energy (eV per atom)
1,0.00,-20.9972
2,4.01,-11.1517
3,2.26,-14.8818
4,0.62,-35.2794
5,0.00,-33.2854
6,6.00,-10.6417
7,0.86,-39.4449
8,0.00,-25.5938
9,0.00,-18.8153
10,0.00,-60.3462
11,0.00,-53.2475
12,0.00,-7.2901